No. 1
## BeCoNi2 (PBE)

Data for a relaxed BeCoNi2 crystal.

## Properties
E_tot ... -5.705 eV/atom

Cell lengths 3.4822, 3.4822, 6.6753 Å; angles 90.00, 90.00, 90.00 degrees
Closest atoms and distances in Å follow each position.
Space group I-4m2 (No. 119)
Inequivalent atoms, fractional coordinates:
Be (0.0000, 0.0000, 0.0000)  4 Co 2.41, 8 Ni 2.41-2.46
Co (0.0000, 0.5000, 0.7500)  8 Ni 2.41-2.46, 4 Be 2.41
Ni (0.0000, 0.0000, 0.5000)  4 Co 2.41, 4 Ni 2.41, 4 Be 2.46
Ni (0.0000, 0.5000, 0.2500)  4 Ni 2.41, 4 Be 2.41, 4 Co 2.46

***

No. 2
## Ho2Tm3Sc8 (PBE)

Data for a relaxed Ho2Tm3Sc8 crystal.

## Properties
E_tot ... -5.349 eV/atom

Cell lengths 19.7649, 7.1209, 5.1993 Å; angles 90.00, 90.02, 90.00 degrees
Closest atoms and distances in Å follow each position.
Space group C2/m (No. 12)
Inequivalent atoms, fractional coordinates:
Ho (0.2400, 0.0000, 0.4991)  8 Sc 3.23-3.39, 2 Ho 3.58
Tm (0.0000, 0.0000, 0.5000)  4 Sc 2.99, 4 Tm 3.29
Tm (0.0000, 0.2838, 0.0000)  3 Tm 3.08-3.29, 6 Sc 3.28-3.38
Sc (0.1093, 0.2901, 0.5003)  1 Tm 2.99, 4 Sc 2.99-3.34, 2 Ho 3.31-3.33
Sc (0.1304, 0.0000, 0.9997)  4 Tm 3.28-3.66, 6 Sc 3.34-3.62, 2 Ho 3.38-3.39
Sc (0.1631, 0.5000, 0.0007)  4 Sc 3.18, 2 Ho 3.23

***

No. 3
## Al2VZn (PBE)

Data for a relaxed Al2VZn crystal.

## Properties
E_tot ... -4.518 eV/atom

Cell lengths 2.8157, 2.8157, 26.5406 Å; angles 90.00, 90.00, 120.00 degrees
Closest atoms and distances in Å follow each position.
Space group R-3m (No. 166, hexagonal axes)
Inequivalent atoms, fractional coordinates:
Al (0.0000, 0.0000, 0.2472)  3 V 2.68, 3 Zn 2.81, 6 Al 2.82
V (0.0000, 0.0000, 0.5000)  6 Al 2.68, 6 V 2.82
Zn (0.0000, 0.0000, 0.0000)  6 Al 2.81, 6 Zn 2.82

***

No. 4
## HoLuPu4 (PBE)

Data for a relaxed HoLuPu4 crystal.

## Properties
E_tot ... -10.843 eV/atom

Cell lengths 8.6764, 8.6764, 8.6764 Å; angles 90.00, 90.00, 90.00 degrees
Closest atoms and distances in Å follow each position.
Space group F-43m (No. 216)
Inequivalent atoms, fractional coordinates:
Ho (0.0000, 0.0000, 0.0000)  12 Pu 3.60, 4 Lu 3.76
Lu (0.2500, 0.2500, 0.7500)  12 Pu 3.60, 4 Ho 3.76
Pu (0.1250, 0.1250, 0.3750)  6 Pu 3.07

***

No. 5
## CaZnOs (PBE)

Data for a relaxed CaZnOs crystal.

## Properties
E_tot ... -4.291 eV/atom

Cell lengths 3.0131, 3.0131, 6.9727 Å; angles 90.00, 90.00, 120.00 degrees
Closest atoms and distances in Å follow each position.
Space group P3m1 (No. 156)
Inequivalent atoms, fractional coordinates:
Ca (0.0000, 0.0000, 0.0000)  3 Os 2.91, 6 Ca 3.01, 3 Zn 3.14
Zn (0.3333, 0.6667, 0.6250)  3 Os 2.67
Os (0.6667, 0.3333, 0.3346)  3 Zn 2.67, 3 Ca 2.91

***

No. 6
## EuHoCdSn (PBE)

Data for a relaxed EuHoCdSn crystal.

## Properties
E_tot ... -5.436 eV/atom

Cell lengths 7.6341, 7.6341, 7.6341 Å; angles 90.00, 90.00, 90.00 degrees
Closest atoms and distances in Å follow each position.
Space group F-43m (No. 216)
Inequivalent atoms, fractional coordinates:
Eu (0.0000, 0.0000, 0.0000)  4 Cd 3.31, 4 Sn 3.31
Ho (0.0000, 0.0000, 0.5000)  4 Sn 3.31, 4 Cd 3.31
Cd (0.2500, 0.2500, 0.2500)  4 Ho 3.31, 4 Eu 3.31
Sn (0.2500, 0.2500, 0.7500)  4 Ho 3.31, 4 Eu 3.31

***

No. 7
## MnZn (PBE)

Data for a relaxed MnZn crystal.

## Properties
E_tot ... -5.063 eV/atom

Cell lengths 4.3136, 12.7682, 2.8673 Å; angles 90.00, 90.00, 90.00 degrees
Closest atoms and distances in Å follow each position.
Space group Cmmm (No. 65)
Inequivalent atoms, fractional coordinates:
Mn (0.0000, 0.0000, 0.0000)  4 Mn 2.46, 4 Zn 2.59
Mn (0.0000, 0.1567, 0.5000)  2 Mn 2.46, 6 Zn 2.59-2.64
Zn (0.0000, 0.3306, 0.0000)  6 Mn 2.59-2.64, 4 Zn 2.59-2.87
Zn (0.0000, 0.5000, 0.5000)  4 Mn 2.59, 6 Zn 2.59-2.87

***

No. 8
## Pm2ThIn (PBE)

Data for a relaxed Pm2ThIn crystal.

## Properties
Energy above the lowest structure with this stoichiometry ... 0.0000 eV per atom

Cell lengths 3.6472, 3.6472, 9.1814 Å; angles 90.00, 90.00, 90.00 degrees
Closest atoms and distances in Å follow each position.
Space group P4/mmm (No. 123)
Inequivalent atoms, fractional coordinates:
Pm (0.0000, 0.0000, 0.2337)  4 In 3.35, 4 Th 3.55, 4 Pm 3.65
Th (0.5000, 0.5000, 0.5000)  8 Pm 3.55, 4 Th 3.65
In (0.5000, 0.5000, 0.0000)  8 Pm 3.35, 4 In 3.65

***

No. 9
## Ce2Ho8Al (PBE)

Data for a relaxed Ce2Ho8Al crystal.

## Properties
E_tot ... -4.680 eV/atom

Cell lengths 18.4573, 5.3858, 7.3680 Å; angles 90.00, 113.42, 90.00 degrees
Closest atoms and distances in Å follow each position.
Space group C2/m (No. 12)
Inequivalent atoms, fractional coordinates:
Ce (0.1919, 0.0000, 0.1919)  11 Ho 3.35-3.73
Ho (0.0005, 0.0000, 0.2515)  2 Al 3.26, 6 Ho 3.52-3.55
Ho (0.1334, 0.5000, 0.9001)  1 Al 3.00, 2 Ce 3.35
Ho (0.1347, 0.5000, 0.3706)  1 Al 3.00, 2 Ce 3.35
Ho (0.1795, 0.0000, 0.6810)  8 Ho 3.42-3.60, 4 Ce 3.46-3.70
Al (0.0000, 0.5000, 0.5000)  8 Ho 3.00-3.26

***

No. 10
## IrPd2Pt8 (PBE)

Data for a relaxed IrPd2Pt8 crystal.

## Properties
E_tot ... -5.944 eV/atom

Cell lengths 7.6456, 12.2722, 5.3101 Å; angles 90.00, 132.93, 90.00 degrees
Closest atoms and distances in Å follow each position.
Space group C2/m (No. 12)
Inequivalent atoms, fractional coordinates:
Ir (0.0000, 0.0000, 0.0000)  8 Pt 2.57-2.72
Pd (0.0000, 0.3068, 0.5000)  10 Pt 2.74-2.85
Pt (0.0000, 0.2220, 0.0000)  4 Pt 2.68-2.71, 1 Ir 2.72, 4 Pd 2.82-2.85
Pt (0.1025, 0.5000, 0.3670)  1 Ir 2.57, 5 Pt 2.66-2.73, 2 Pd 2.74
Pt (0.2047, 0.1103, 0.8237)  6 Pt 2.64-2.73, 1 Ir 2.67, 2 Pd 2.75-2.83

***

No. 11
## DyPa2PbO8 (PBE)

Data for a relaxed DyPa2PbO8 crystal.

## Properties
E_tot ... -8.664 eV/atom

Cell lengths 5.4566, 5.4566, 10.8606 Å; angles 90.00, 90.00, 90.00 degrees
Closest atoms and distances in Å follow each position.
Space group I-4m2 (No. 119)
Inequivalent atoms, fractional coordinates:
Dy (0.0000, 0.0000, 0.0000)  8 O 2.38
Pa (0.0000, 0.0000, 0.5000)  8 O 2.31
Pa (0.0000, 0.5000, 0.7500)  8 O 2.31
Pb (0.0000, 0.5000, 0.2500)  8 O 2.44
O (0.2342, 0.2549, 0.6228)  2 Pa 2.31, 1 Dy 2.38, 1 Pb 2.44, 1 O 2.56

***

No. 12
## HfTc2 (PBE)

Data for a relaxed HfTc2 crystal.

## Properties
Energy above the lowest structure with this stoichiometry ... 0.0333 eV per atom

Cell lengths 7.4172, 7.4172, 7.4172 Å; angles 90.00, 90.00, 90.00 degrees
Closest atoms and distances in Å follow each position.
Space group Fd-3m (No. 227, origin choice 2)
Inequivalent atoms, fractional coordinates:
Hf (0.1250, 0.1250, 0.1250)  12 Tc 3.08, 4 Hf 3.21
Tc (0.0000, 0.0000, 0.5000)  6 Tc 2.62

***

No. 13
## K2YTa (PBE)

Data for a relaxed K2YTa crystal.

## Properties
Energy above the lowest structure with this stoichiometry ... 0.0000 eV per atom

Cell lengths 3.3449, 3.3449, 13.0140 Å; angles 90.00, 90.00, 90.00 degrees
Closest atoms and distances in Å follow each position.
Space group P4mm (No. 99)
Inequivalent atoms, fractional coordinates:
K (0.0000, 0.0000, 0.0000)  4 K 3.34
K (0.5000, 0.5000, 0.3266)  4 K 3.34
Y (0.5000, 0.5000, 0.7181)  4 Ta 3.10, 4 Y 3.34
Ta (0.0000, 0.0000, 0.5635)  4 Y 3.10, 4 Ta 3.34